Below is a geometry-optimized TaCdInH structure, with properties calculated at the PBE-GGA level.

Cell: 3.078 3.078 7.223 Å, 90.00 90.00 90.00°
Space group P4mm (No. 99)
Asymmetric unit:
Ta1 0.000 0.000 0.000 (multiplicity 1)
Cd1 0.500 0.500 0.309 (multiplicity 1)
In1 0.500 0.500 0.698 (multiplicity 1)
H1 0.000 0.000 0.253 (multiplicity 1)

## Properties
Its excess energy over the best structure of this formula in the dataset is 0.1942 eV/atom. As for the total energy: -4.46 eV per atom. As for the total magnetization: 0.00 μB per atom.